Here is a relaxed structure of Pm3ErAg6 from Alexandria via LeMat-Bulk. Energies are from PBE.

extended XYZ file:
```
10
Lattice="7.5163 0.0000 0.0000 3.7581 6.5093 0.0000 3.7581 2.1698 6.1370" Properties=species:S:1:pos:R:3 pbc="T T T"
Pm 3.7581 2.1698 1.5343
Pm 7.5163 4.3395 3.0685
Pm 11.2744 6.5093 4.6028
Ag 7.5163 6.5414 4.6255
Ag 5.6094 5.4405 1.5115
Ag 9.4232 3.2386 4.6255
Ag 5.6094 3.2386 4.6255
Ag 9.4232 5.4405 1.5115
Ag 7.5163 2.1376 1.5115
Er 0.0000 0.0000 0.0000
```

Calculated values
* E_tot: -31.012 eV/f.u.
* calculated formation energy: 0.49 eV/atom
* total moment: 0.0 μB/f.u.



Here is a relaxed structure of NdTm2Mg9 from Alexandria via LeMat-Bulk. Energies are from PBE.

extended XYZ file:
```
12
Lattice="5.7806 0.0000 1.7204 2.6343 5.1455 1.7204 0.0724 0.0443 10.3286" Properties=species:S:1:pos:R:3 pbc="T T T"
Mg 4.2436 2.5949 6.8847
Mg 5.6037 3.4265 2.3147
Mg 4.8252 4.7461 4.9308
Mg 2.8836 1.7632 11.4546
Mg 3.4869 2.1321 4.0568
Mg 6.4236 2.1321 4.9308
Mg 2.0637 3.0576 8.8386
Mg 3.6621 0.4436 8.8386
Mg 5.0004 3.0576 9.7126
Tm 1.2590 0.7698 6.3415
Tm 7.2283 4.4199 7.4279
Nd 0.0000 0.0000 0.0000
```

Calculated values
* E_tot: -28.558 eV/f.u.
* calculated formation energy: -0.04 eV/atom
* total moment: 0.0 μB/f.u.



Here is a relaxed structure of NbGeMo from Alexandria via LeMat-Bulk. Energies are from PBE.

extended XYZ file:
```
3
Lattice="-0.3726 -1.7511 2.1189 0.6686 -3.5501 -2.8163 3.5538 1.8897 2.1866" Properties=species:S:1:pos:R:3 pbc="T T T"
Ge -0.0707 -0.3324 0.4022
Mo 2.5097 -0.3106 0.9873
Nb 1.4108 -2.7684 0.0996
```

Calculated values
* E_tot: -25.655 eV/f.u.
* calculated formation energy: -0.05 eV/atom
* total moment: 0.0 μB/f.u.



Here is a relaxed structure of TmPuInSn from Alexandria via LeMat-Bulk. Energies are from PBE.

extended XYZ file:
```
4
Lattice="5.3055 0.0000 0.0000 2.6528 4.5947 0.0000 2.6528 1.5316 4.3319" Properties=species:S:1:pos:R:3 pbc="T T T"
Pu 0.0000 0.0000 0.0000
In 7.9583 4.5947 3.2489
Sn 2.6528 1.5316 1.0830
Tm 5.3055 3.0631 2.1660
```

Calculated values
* E_tot: -26.894 eV/f.u.
* calculated formation energy: -0.34 eV/atom
* total moment: 6.1 μB/f.u.



Here is a relaxed structure of Ag8S4I from Alexandria via LeMat-Bulk. Energies are from PBE.

extended XYZ file:
```
13
Lattice="8.1083 0.0000 0.0000 4.0542 7.0220 0.0000 4.0542 2.3407 6.6204" Properties=species:S:1:pos:R:3 pbc="T T T"
Ag 4.0542 4.0655 1.0453
Ag 8.1083 2.6786 4.0183
Ag 2.5604 1.4783 1.0453
Ag 9.8427 5.6827 4.0183
Ag 8.1083 4.6813 1.1860
Ag 6.3739 5.6827 4.0183
Ag 5.5479 1.4783 1.0453
Ag 4.0542 2.3407 3.4845
I 12.1625 7.0220 4.9653
S 8.1083 4.6813 5.7100
S 8.1083 6.9439 2.5103
S 6.1489 3.5501 2.5103
S 10.0678 3.5501 2.5103
```

Calculated values
* E_tot: -38.820 eV/f.u.
* formation energy from raw total energies: 198 kJ/mol of formula units
* total moment: 0.0 μB/f.u.



Here is a relaxed structure of PrNd2Dy2Y6 from Alexandria via LeMat-Bulk. Energies are from PBE.

extended XYZ file:
```
11
Lattice="6.6441 -0.6032 -0.5114 -3.8082 5.4777 -0.5114 -1.8674 -3.2099 11.5570" Properties=species:S:1:pos:R:3 pbc="T T T"
Dy 2.6094 -0.4041 5.2671
Dy -1.6409 2.0686 5.2671
Y -2.2560 -0.1857 8.8336
Y 0.6892 1.1847 7.4765
Y 0.2792 0.4799 3.0576
Y 3.2244 1.8503 1.7006
Y 0.9536 -2.0529 8.8336
Y 0.0148 3.7175 1.7006
Nd -2.4008 4.6589 -0.5114
Nd 5.2367 0.2156 -0.5114
Pr -0.9337 -1.6049 5.7785
```

Calculated values
* E_tot: -60.638 eV/f.u.
* calculated formation energy: 0.15 eV/atom
* total moment: 0.0 μB/f.u.



Here is a relaxed structure of GdTlSe2 from Alexandria via LeMat-Bulk. Energies are from PBE.

extended XYZ file:
```
4
Lattice="-0.7629 -3.4135 -7.3297 -2.9133 -5.9432 -4.7064 -4.7041 -2.3998 -6.1702" Properties=species:S:1:pos:R:3 pbc="T T T"
Se -1.9715 -2.7658 -4.2832
Se -6.4088 -8.9907 -13.9232
Tl 0.0000 0.0000 0.0000
Gd -4.1902 -5.8783 -9.1032
```

Calculated values
* E_tot: -28.986 eV/f.u.
* formation energy from raw total energies: -537 kJ/mol of formula units
* total moment: 7.0 μB/f.u.



Here is a relaxed structure of TbThRhI from Alexandria via LeMat-Bulk. Energies are from PBE.

extended XYZ file:
```
4
Lattice="-2.5722 2.7494 1.7524 -1.5326 -3.3635 -1.8915 2.6049 -4.8381 6.4919" Properties=species:S:1:pos:R:3 pbc="T T T"
I -2.1237 -0.4042 3.3677
Tb 0.2232 -2.4242 5.0594
Th -1.5525 -3.1378 -1.3462
Rh 0.6409 -5.2308 5.1556
```

Calculated values
* E_tot: -24.483 eV/f.u.
* formation energy from raw total energies: -341 kJ/mol of formula units
* total moment: 0.0 μB/f.u.